VASP calculation (PBE) on a relaxed PrAl4CuPt2 crystal.

Summary:
calculated formation energy	-0.774	eV per atom
total magnetic moment	0.0	μB per formula unit

Cell: 4.2673 4.2673 26.8810 Å, 90.00 90.00 120.00°
Space group R-3m (No. 166, hexagonal axes)
Inequivalent atoms, fractional coordinates:
Pr: 0.0000 0.0000 0.0000 x3
Al: 0.0000 0.0000 0.1335 x6
Al: 0.0000 0.0000 0.4060 x6
Cu: 0.0000 0.0000 0.5000 x3
Pt: 0.0000 0.0000 0.2340 x6